# 1
The following is a GGA-PBE calculation of an optimized crystal structure of KCd4Sb2, from the Alexandria database.

- Volume: 216 Å³/cell
- ΔE_f (raw): -0.09 eV/atom
- Space group: R-3m

Cell and atoms, written as POSCAR:
```
KCd4Sb2
1.0
2.653 1.532 8.865
-2.653 1.532 8.865
0.000 -3.063 8.865
K Cd Sb
1 4 2
direct
0.000 0.000 0.000
0.132 0.132 0.132
0.443 0.443 0.443
0.557 0.557 0.557
0.868 0.868 0.868
0.242 0.242 0.242
0.758 0.758 0.758
```



# 2
The following is a GGA-PBE calculation of an optimized crystal structure of La15Sm4Th, from the Alexandria database.

- Volume: 717 Å³/cell
- Total DFT energy (no corrections): -4.991 eV per atom
- Space group: P4/mmm

Cell and atoms, written as POSCAR:
```
La15Sm4Th
1.0
5.227 0.000 0.000
0.000 5.227 0.000
0.000 0.000 26.233
La Sm Th
15 4 1
direct
0.000 0.000 0.000
0.000 0.000 0.202
0.000 0.000 0.401
0.000 0.000 0.599
0.000 0.000 0.798
0.000 0.500 0.096
0.000 0.500 0.300
0.000 0.500 0.500
0.000 0.500 0.700
0.000 0.500 0.904
0.500 0.000 0.096
0.500 0.000 0.300
0.500 0.000 0.500
0.500 0.000 0.700
0.500 0.000 0.904
0.500 0.500 0.200
0.500 0.500 0.400
0.500 0.500 0.600
0.500 0.500 0.800
0.500 0.500 0.000
```



# 3
The following is a GGA-PBE calculation of an optimized crystal structure of Pr2Nd2Sm4Dy, from the Alexandria database.

- Volume: 311 Å³/cell
- Total DFT energy (no corrections): -4.718 eV per atom
- Space group: C2/m

Cell and atoms, written as POSCAR:
```
Pr2Nd2Sm4Dy
1.0
9.547 -1.840 0.000
9.547 1.840 0.000
-4.245 0.000 8.841
Pr Nd Sm Dy
2 2 4 1
direct
0.147 0.147 0.166
0.853 0.853 0.834
0.335 0.335 0.499
0.665 0.665 0.501
0.185 0.185 0.833
0.482 0.482 0.171
0.518 0.518 0.829
0.815 0.815 0.167
0.000 0.000 0.500
```



no.,size of the total moment (μB/cell)
1,0.00
2,0.00
3,0.00